VASP calculation (PBE) on a relaxed structure of Ac2SmPb.

It has space group Fm-3m (No. 225), with a = 8.411 Å, b = 8.411 Å, c = 8.411 Å, α = 90.00°, β = 90.00° and γ = 90.00°. The inequivalent atoms are Ac at (0.250, 0.250, 0.250), Sm at (0.000, 0.000, 0.000) and Pb at (0.000, 0.000, 0.500).

The relative energy among the computed polymorphs is 161 meV per atom.

VASP calculation (PBE) on a relaxed structure of Ac12SmPb6.

It has space group R-3 (No. 148, hexagonal axes), with a = 16.0816 Å, b = 16.0816 Å, c = 10.7780 Å, α = 90.00°, β = 90.00° and γ = 120.00°. The inequivalent atoms are Ac at (0.0532, 0.1921, 0.2964), Ac at (0.0555, 0.2510, 0.9237), Sm at (0.0000, 0.0000, 0.0000) and Pb at (0.0620, 0.2520, 0.5960).

The total energy comes out at -4.173 eV/atom.

VASP calculation (PBE) on a relaxed structure of Ac6SmPb10.

It has space group P-31m (No. 162), with a = 10.0177 Å, b = 10.0177 Å, c = 6.8775 Å, α = 90.00°, β = 90.00° and γ = 120.00°. The inequivalent atoms are Ac at (0.0000, 0.3901, 0.2639), Sm at (0.0000, 0.0000, 0.5000), Pb at (0.0000, 0.2472, 0.8079), Pb at (0.3333, 0.6667, 0.0000) and Pb at (0.3333, 0.6667, 0.5000).

The total energy comes out at -4.308 eV/atom.

VASP calculation (PBE) on a relaxed structure of Ac4SmPb4.

It has space group P4_2/n (No. 86, origin choice 2), with a = 10.052 Å, b = 10.052 Å, c = 6.948 Å, α = 90.00°, β = 90.00° and γ = 90.00°. The inequivalent atoms are Ac at (0.028, 0.675, 0.116), Sm at (0.250, 0.250, 0.250) and Pb at (0.019, 0.653, 0.604).

The total energy comes out at -4.351 eV/atom.

VASP calculation (PBE) on a relaxed structure of Ac5SmPb3.

It has space group P6_3/mcm (No. 193), with a = 10.3280 Å, b = 10.3280 Å, c = 7.2423 Å, α = 90.00°, β = 90.00° and γ = 120.00°. The inequivalent atoms are Ac at (0.0000, 0.3254, 0.2500), Ac at (0.3333, 0.6667, 0.0000), Sm at (0.0000, 0.0000, 0.0000) and Pb at (0.0000, 0.3357, 0.7500).

The total energy comes out at -4.371 eV/atom.

VASP calculation (PBE) on a relaxed structure of Ac3SmPb3.

It has space group C2/m (No. 12), with a = 9.217 Å, b = 13.932 Å, c = 8.801 Å, α = 90.00°, β = 94.09° and γ = 90.00°. The inequivalent atoms are Ac at (0.000, 0.162, 0.000), Ac at (0.000, 0.233, 0.500), Ac at (0.109, 0.500, 0.842), Sm at (0.246, 0.000, 0.594), Pb at (0.066, 0.000, 0.286) and Pb at (0.188, 0.325, 0.204).

The total energy comes out at -4.355 eV/atom.

no.,magnetization (μB per cell)
1,0.000
2,0.009
3,0.000
4,0.000
5,6.088
6,0.000